This record from the Alexandria database describes K2BeCo3F12 after structural relaxation. The functional is GGA+U.

a b c (Å): 6.881 6.881 6.881
angles (deg): 62.89 62.89 62.89
Last column: magnetic moment on the atom in μB.
Sites, in units of the cell vectors:
Co (0.000, 0.500, 0.000)  2.27
Co (0.500, 0.000, 0.000)  2.27
Co (0.000, 0.000, 0.500)  2.27
F (0.060, 0.060, 0.705)  -0.04
F (0.064, 0.666, 0.666)  0.06
F (0.705, 0.060, 0.060)  -0.04
F (0.936, 0.334, 0.334)  0.06
F (0.666, 0.064, 0.666)  0.06
F (0.666, 0.666, 0.064)  0.06
F (0.060, 0.705, 0.060)  -0.04
F (0.940, 0.295, 0.940)  -0.04
F (0.940, 0.940, 0.295)  -0.04
F (0.334, 0.334, 0.936)  0.06
F (0.334, 0.936, 0.334)  0.06
F (0.295, 0.940, 0.940)  -0.04
Be (0.000, 0.000, 0.000)  0.01
K (0.635, 0.635, 0.635)  0.00
K (0.365, 0.365, 0.365)  0.00

Values from the calculation:
VASP energy = -85.3 eV/cell
Volume = 13.6 Å³ per atom
SG = No. 166